## ZnAu (SCAN)

Data for ZnAu at its PBEsol-relaxed geometry.

Formation energy, eV/atom: -0.1477

Cell lengths 2.8780, 2.8780, 12.9947 Å; angles 90.00, 90.00, 120.00 degrees
Space group R-3m (No. 166, hexagonal axes)
One atom of each set of equivalent atoms:
Zn: 0.0000 0.0000 0.0000 (multiplicity 3)
Au: 0.0000 0.0000 0.5000 (multiplicity 3)